Record 1
# Tb5Th3S8, optimized geometry, DFT PBE
data_Tb5Th3S8
_cell_length_a 7.8795
_cell_length_b 7.8795
_cell_length_c 19.7628
_cell_angle_alpha 90.00
_cell_angle_beta 90.00
_cell_angle_gamma 120.00
_symmetry_space_group_name_H-M 'R -3 m'
_symmetry_Int_Tables_number 166
_symmetry_space_group_name_Hall '-R 3 2"'
loop_
_atom_site_label
_atom_site_type_symbol
_atom_site_fract_x
_atom_site_fract_y
_atom_site_fract_z
_atom_site_occupancy
Tb1 Tb 0.0000 0.0000 0.0000 1
Tb2 Tb 0.0000 0.0000 0.5000 1
Tb3 Tb 0.0000 0.5000 0.0000 1
Th1 Th 0.0000 0.5000 0.5000 1
S1 S 0.0000 0.0000 0.2544 1
S2 S 0.0052 0.5026 0.2528 1
# Formation energy from raw total energies, eV per atom: -1.94
# E_tot, eV per cell: -328.279


Record 2
# MgCdBi, optimized geometry, DFT PBE
data_MgCdBi
_cell_length_a 3.435
_cell_length_b 6.117
_cell_length_c 7.569
_cell_angle_alpha 90.00
_cell_angle_beta 102.70
_cell_angle_gamma 90.00
_symmetry_space_group_name_H-M 'P 1 21/m 1'
_symmetry_Int_Tables_number 11
_symmetry_space_group_name_Hall '-P 2yb'
loop_
_atom_site_label
_atom_site_type_symbol
_atom_site_fract_x
_atom_site_fract_y
_atom_site_fract_z
_atom_site_occupancy
Mg1 Mg 0.145 0.250 0.286 1
Cd1 Cd 0.500 0.000 0.000 1
Bi1 Bi 0.164 0.750 0.346 1
# Formation energy, meV/atom: -63
# E_tot, eV per cell: -13.161
# Energy relative to the lowest polymorph listed for this composition, eV/atom: 0.000


Record 3
# ZnCr2Fe, optimized geometry, DFT PBE
data_ZnCr2Fe
_cell_length_a 2.926
_cell_length_b 3.942
_cell_length_c 8.192
_cell_angle_alpha 90.00
_cell_angle_beta 90.00
_cell_angle_gamma 90.00
_symmetry_space_group_name_H-M 'I m m m'
_symmetry_Int_Tables_number 71
_symmetry_space_group_name_Hall '-I 2 2'
loop_
_atom_site_label
_atom_site_type_symbol
_atom_site_fract_x
_atom_site_fract_y
_atom_site_fract_z
_atom_site_occupancy
Zn1 Zn 0.000 0.000 0.000 1
Cr1 Cr 0.000 0.500 0.240 1
Fe1 Fe 0.000 0.000 0.500 1
# Formation energy, meV/atom: 179
# E_tot, eV per cell: -56.532


Record 4
# FeRu2Se, optimized geometry, DFT PBE
data_FeRu2Se
_cell_length_a 2.924
_cell_length_b 4.358
_cell_length_c 8.964
_cell_angle_alpha 90.00
_cell_angle_beta 90.00
_cell_angle_gamma 90.00
_symmetry_space_group_name_H-M 'I m m m'
_symmetry_Int_Tables_number 71
_symmetry_space_group_name_Hall '-I 2 2'
loop_
_atom_site_label
_atom_site_type_symbol
_atom_site_fract_x
_atom_site_fract_y
_atom_site_fract_z
_atom_site_occupancy
Fe1 Fe 0.000 0.000 0.000 1
Ru1 Ru 0.000 0.500 0.222 1
Se1 Se 0.000 0.000 0.500 1
# Formation energy from raw total energies, eV per atom: 0.32
# E_tot, eV per cell: -58.401